The following is a PBE calculation of a geometry-optimized InOs2Au structure, from Alexandria via LeMat-Bulk.

Density of states at the Fermi level, states/eV per cell: 6.06
Formation energy, eV/f.u.: 3.04
Space-group type: No. 139

Unit cell a=5.015 b=5.015 c=5.015 alpha=132.92 beta=132.92 gamma=68.78
Atoms (fractional coordinates):
In1 0.000 0.000 0.000
Os1 0.250 0.750 0.500
Os2 0.750 0.250 0.500
Au1 0.500 0.500 0.000